Compound: KLi2ZnN
Source: the Alexandria database
Functional: meta-GGA SCAN
Structure: single point on PBEsol structure

Cell: 5.210 5.210 3.789 Å, 90.00 90.00 90.00°
Positions (direct):
K 0.000 0.000 0.000
Li 0.000 0.500 0.500
Li 0.500 0.000 0.500
Zn 0.500 0.500 0.500
N 0.500 0.500 0.000

E_form (uncorrected)	0.437	eV per atom
D(E_F)	1.6	states/eV/cell

Compound: CdPb2
Source: the Alexandria database
Functional: meta-GGA SCAN
Structure: single point on PBEsol structure

Cell: 6.061 6.061 6.061 Å, 102.99 102.99 123.40°
Positions (direct):
Cd 0.250 0.250 0.000
Cd 0.750 0.750 0.000
Pb 0.155 0.655 0.811
Pb 0.345 0.155 0.500
Pb 0.655 0.845 0.500
Pb 0.845 0.345 0.189

energy above the lowest structure with this stoichiometry	0	meV/atom
D(E_F)	2.0	states/eV/cell
calculated formation energy	0.0244	eV per atom

Compound: AlSbMo3
Source: the Alexandria database
Functional: meta-GGA SCAN
Structure: single point on PBEsol structure

Cell: 4.814 4.814 4.814 Å, 90.00 90.00 90.00°
Positions (direct):
Al 0.000 0.000 0.000
Sb 0.500 0.500 0.500
Mo 0.000 0.500 0.500
Mo 0.500 0.000 0.500
Mo 0.500 0.500 0.000

E_form (uncorrected)	1.978	eV per atom
D(E_F)	6.6	states/eV/cell

Compound: Zr2ScCo
Source: the Alexandria database
Functional: meta-GGA SCAN
Structure: single point on PBEsol structure

Cell: 5.583 5.583 5.583 Å, 145.87 128.97 62.83°
Positions (direct):
Zr 0.208 0.208 0.000
Zr 0.792 0.792 0.000
Sc 0.500 0.000 0.500
Co 0.000 0.500 0.500

energy above the lowest structure with this stoichiometry	39	meV/atom
D(E_F)	3.4	states/eV/cell
calculated formation energy	-0.1324	eV per atom

Compound: Y2InW
Source: the Alexandria database
Functional: meta-GGA SCAN
Structure: single point on PBEsol structure

Cell: 3.103 3.103 9.589 Å, 90.00 90.00 90.00°
Positions (direct):
Y 0.000 0.000 0.000
Y 0.500 0.500 0.320
In 0.000 0.000 0.566
W 0.500 0.500 0.771

D(E_F)	3.3	states/eV/cell
calculated formation energy	0.3529	eV per atom

Compound: AcAl3
Source: the Alexandria database
Functional: meta-GGA SCAN
Structure: single point on PBEsol structure

Cell: 6.850 6.850 4.663 Å, 90.00 90.00 120.00°
Positions (direct):
Ac 0.333 0.667 0.250
Ac 0.667 0.333 0.750
Al 0.133 0.266 0.750
Al 0.133 0.867 0.750
Al 0.266 0.133 0.250
Al 0.734 0.867 0.750
Al 0.867 0.133 0.250
Al 0.867 0.734 0.250

D(E_F)	2.7	states/eV/cell
calculated formation energy	-0.3844	eV per atom

Compound: BaCd2Mo
Source: the Alexandria database
Functional: meta-GGA SCAN
Structure: single point on PBEsol structure

Cell: 4.637 4.637 4.551 Å, 90.00 90.00 90.00°
Positions (direct):
Ba 0.000 0.000 0.000
Cd 0.000 0.500 0.500
Cd 0.500 0.000 0.500
Mo 0.500 0.500 0.000

D(E_F)	1.9	states/eV/cell
calculated formation energy	0.7259	eV per atom

Compound: MnPt2Au
Source: the Alexandria database
Functional: meta-GGA SCAN
Structure: single point on PBEsol structure

Cell: 4.813 4.813 4.813 Å, 132.11 132.11 70.05°
Positions (direct):
Mn 0.000 0.000 0.000
Pt 0.250 0.750 0.500
Pt 0.500 0.500 0.000
Au 0.750 0.250 0.500

D(E_F)	3.6	states/eV/cell
calculated formation energy	-0.3937	eV per atom

Across the entries above, final energy takes the values -6.7456 -60.6344 -27.9561 -23.3671 -39.3372 -28.8170 -33.0902 -57.3432 eV/atom, respectively.